Here is a relaxed structure of In4HgPb7 from the Alexandria database. Energies are from PBE.

Cell and atoms, written as POSCAR:
```
In4HgPb7
1.0
3.4524 0.0000 0.0000
-1.7262 2.9899 0.0000
0.0000 0.0000 34.8124
In Pb Hg
4 7 1
direct
0.6667 0.3333 0.0831
0.3333 0.6667 0.6635
0.6667 0.3333 0.3365
0.3333 0.6667 0.9169
0.0000 0.0000 0.0000
0.3333 0.6667 0.4178
0.6667 0.3333 0.8337
0.0000 0.0000 0.7453
0.6667 0.3333 0.5822
0.3333 0.6667 0.1663
0.0000 0.0000 0.2547
0.0000 0.0000 0.5000
```

Computed properties:
E_form in eV/atom: 0.026
ΔE to the lowest computed polymorph in meV/atom: 0
Crystal system: trigonal
Theoretical density in g/cm3: 9.751
Size of the total moment in μB per formula unit: 0.000

***

Here is a relaxed structure of InHg2Pb from the Alexandria database. Energies are from PBE.

Cell and atoms, written as POSCAR:
```
InHg2Pb
1.0
-1.5537 -3.3501 4.3912
4.5260 -3.3463 1.1126
-0.2893 5.7057 -0.5298
Hg Pb In
2 1 1
direct
0.2500 0.7500 0.5000
0.0000 0.0000 0.0000
0.7500 0.2500 0.5000
0.5000 0.5000 0.0000
```

Computed properties:
E_form in eV/atom: 0.039
Crystal system: tetragonal
Theoretical density in g/cm3: 10.987
Size of the total moment in μB per formula unit: 0.000

***

Here is a relaxed structure of InHg8Pb6 from the Alexandria database. Energies are from PBE.

Cell and atoms, written as POSCAR:
```
InHg8Pb6
1.0
-8.0238 4.0565 1.8757
-8.1638 -1.7383 -3.8321
-7.3573 -3.7667 4.0045
Pb Hg In
6 8 1
direct
0.1410 0.6424 0.3628
0.8590 0.3576 0.6372
0.6424 0.3628 0.1410
0.3628 0.1410 0.6424
0.6372 0.8590 0.3576
0.3576 0.6372 0.8590
0.4638 0.8164 0.1238
0.5362 0.1836 0.8762
0.8762 0.5362 0.1836
0.2673 0.2673 0.2673
0.1238 0.4638 0.8164
0.1836 0.8762 0.5362
0.8164 0.1238 0.4638
0.7327 0.7327 0.7327
0.0000 0.0000 0.0000
```

Computed properties:
E_form in eV/atom: 0.068
Crystal system: trigonal
Theoretical density in g/cm3: 10.876
Size of the total moment in μB per formula unit: 0.000

***

Here is a relaxed structure of In12Hg6Pb from the Alexandria database. Energies are from PBE.

Cell and atoms, written as POSCAR:
```
In12Hg6Pb
1.0
8.6546 -0.2201 -0.3099
-2.3586 8.3299 -0.3099
-2.3586 -3.0380 7.7623
In Hg Pb
12 6 1
direct
0.3520 0.1097 0.3520
0.1148 0.8852 0.5000
0.1148 0.5000 0.8852
0.5000 0.1148 0.8852
0.6480 0.8903 0.6480
0.8852 0.5000 0.1148
0.6480 0.6480 0.8903
0.3520 0.3520 0.1097
0.8903 0.6480 0.6480
0.8852 0.1148 0.5000
0.1097 0.3520 0.3520
0.5000 0.8852 0.1148
0.3072 0.3072 0.7072
0.7072 0.3072 0.3072
0.3072 0.7072 0.3072
0.2928 0.6928 0.6928
0.6928 0.6928 0.2928
0.6928 0.2928 0.6928
0.0000 0.0000 0.0000
```

Computed properties:
E_form in eV/atom: 0.068
ΔE to the lowest computed polymorph in meV/atom: 33
Crystal system: trigonal
Theoretical density in g/cm3: 8.592
Size of the total moment in μB per formula unit: 0.000

***

Here is a relaxed structure of In2Hg9Pb from the Alexandria database. Energies are from PBE.

Cell and atoms, written as POSCAR:
```
In2Hg9Pb
1.0
-0.6687 2.2851 2.4096
-8.2751 3.3989 -5.5196
-1.1807 -7.7408 7.0129
Hg In Pb
9 2 1
direct
0.5000 0.3452 0.1726
0.0000 0.5000 0.0000
0.5000 0.1726 0.3452
0.5000 0.1726 0.8274
0.0000 0.5000 0.5000
0.5000 0.8274 0.1726
0.5000 0.6548 0.8274
0.0000 0.0000 0.5000
0.5000 0.8274 0.6548
0.0000 0.6667 0.3333
0.0000 0.3333 0.6667
0.0000 0.0000 0.0000
```

Computed properties:
E_form in eV/atom: 0.032
ΔE to the lowest computed polymorph in meV/atom: 11
Crystal system: hexagonal
Theoretical density in g/cm3: 11.486
Size of the total moment in μB per formula unit: 0.000

***

Here is a relaxed structure of InHgPb from the Alexandria database. Energies are from PBE.

Cell and atoms, written as POSCAR:
```
InHgPb
1.0
-2.6394 3.9125 2.8006
-2.3919 -4.8693 -0.8288
1.2881 -1.1012 2.7524
In Pb Hg
1 1 1
direct
0.6667 0.3333 0.1645
0.3333 0.6667 0.6655
0.0000 0.0000 0.1700
```

Computed properties:
E_form in eV/atom: 0.001
ΔE to the lowest computed polymorph in meV/atom: 0
Crystal system: trigonal
Theoretical density in g/cm3: 10.294
Size of the total moment in μB per formula unit: 0.000

***

| no. | D(E_F) (states/eV per atom) | volume (Å³ per cell) |
| --- | --- | --- |
| 1 | 0.532 | 359.3 |
| 2 | 0.529 | 109.3 |
| 3 | 0.503 | 452.3 |
| 4 | 0.379 | 538.9 |
| 5 | 0.408 | 324.2 |
| 6 | 0.207 | 84.3 |